The following is a PBE calculation of a relaxed Ce2ZnRh crystal, from Alexandria.

## Properties
raw total energy: -5.378 eV per atom
ΔH_f (0 K): -0.25 eV per atom
symmetry: Pnma, No. 62

Geometry as POSCAR:
```
Ce2ZnRh
1.0
-3.090 0.335 0.469
1.142 -0.536 7.913
1.699 14.610 0.745
Ce Zn Rh
8 4 4
Direct
0.250 0.777 0.498
0.250 0.277 0.002
0.750 0.223 0.502
0.250 0.775 0.245
0.750 0.723 0.998
0.750 0.225 0.755
0.250 0.275 0.255
0.750 0.725 0.745
0.250 0.474 0.621
0.750 0.526 0.379
0.250 0.974 0.879
0.750 0.026 0.121
0.750 0.480 0.866
0.750 0.980 0.634
0.250 0.520 0.134
0.250 0.020 0.366
```


The following is a PBE calculation of a relaxed Ce3ZnRh crystal, from Alexandria.

## Properties
raw total energy: -5.634 eV per atom
ΔH_f (0 K): -0.35 eV per atom
symmetry: P-1, No. 2

Geometry as POSCAR:
```
Ce3ZnRh
1.0
-4.211 0.809 -3.105
2.927 -5.363 -0.826
-5.297 -0.771 6.965
Zn Rh Ce
2 2 6
Direct
0.426 0.851 0.579
0.574 0.149 0.421
0.106 0.214 0.946
0.894 0.786 0.054
0.855 0.711 0.699
0.620 0.241 0.940
0.856 0.712 0.377
0.145 0.289 0.301
0.380 0.759 0.060
0.144 0.288 0.623
```


The following is a PBE calculation of a relaxed Ce2Zn3Rh2 crystal, from Alexandria.

## Properties
raw total energy: -4.918 eV per atom
ΔH_f (0 K): -0.58 eV per atom
symmetry: C2/m, No. 12

Geometry as POSCAR:
```
Ce2Zn3Rh2
1.0
4.188 0.000 0.000
-2.094 4.802 -0.133
0.000 -2.395 6.720
Ce Zn Rh
2 3 2
Direct
0.857 0.713 0.232
0.143 0.287 0.768
0.500 0.000 0.000
0.369 0.738 0.559
0.631 0.262 0.441
0.861 0.721 0.803
0.139 0.279 0.197
```


The following is a PBE calculation of a relaxed CeZnRh crystal, from Alexandria.

## Properties
raw total energy: -5.534 eV per atom
ΔH_f (0 K): -0.68 eV per atom
symmetry: Pnma, No. 62

Geometry as POSCAR:
```
CeZnRh
1.0
-0.535 2.587 2.853
-2.334 -5.417 4.474
15.270 -2.410 5.048
Zn Ce Rh
8 8 8
Direct
0.250 0.496 0.061
0.750 0.004 0.561
0.250 0.610 0.347
0.750 0.390 0.653
0.750 0.890 0.847
0.250 0.110 0.153
0.250 0.996 0.439
0.750 0.504 0.939
0.750 0.825 0.059
0.250 0.061 0.716
0.750 0.325 0.441
0.250 0.675 0.559
0.750 0.939 0.284
0.250 0.561 0.784
0.250 0.175 0.941
0.750 0.439 0.216
0.750 0.746 0.438
0.250 0.254 0.562
0.750 0.246 0.062
0.250 0.739 0.186
0.750 0.761 0.686
0.250 0.239 0.314
0.250 0.754 0.938
0.750 0.261 0.814
```


The following is a PBE calculation of a relaxed Ce3Zn2Rh4 crystal, from Alexandria.

## Properties
raw total energy: -6.187 eV per atom
ΔH_f (0 K): -0.66 eV per atom
symmetry: C2/m, No. 12

Geometry as POSCAR:
```
Ce3Zn2Rh4
1.0
-0.780 0.211 -4.332
-1.104 -4.652 2.213
-7.711 2.924 1.530
Rh Ce Zn
4 3 2
Direct
0.907 0.813 0.363
0.293 0.585 0.905
0.707 0.415 0.095
0.093 0.187 0.637
0.620 0.240 0.388
0.000 0.000 0.000
0.380 0.760 0.612
0.317 0.634 0.217
0.683 0.366 0.783
```


The following is a PBE calculation of a relaxed Ce2Zn2Rh3 crystal, from Alexandria.

## Properties
raw total energy: -5.828 eV per atom
ΔH_f (0 K): -0.62 eV per atom
symmetry: P2_1/c, No. 14

Geometry as POSCAR:
```
Ce2Zn2Rh3
1.0
-0.871 4.510 -3.184
0.903 -3.848 -5.697
-6.710 -1.826 0.171
Zn Rh Ce
4 6 4
Direct
0.386 0.700 0.504
0.614 0.300 0.496
0.614 0.200 0.996
0.386 0.800 0.004
0.355 0.028 0.313
0.645 0.528 0.187
0.645 0.972 0.687
0.000 0.500 0.500
0.355 0.472 0.813
0.000 0.000 0.000
0.162 0.370 0.183
0.162 0.130 0.683
0.838 0.630 0.817
0.838 0.870 0.317
```


The following is a PBE calculation of a relaxed CeZn11Rh crystal, from Alexandria.

## Properties
raw total energy: -2.331 eV per atom
ΔH_f (0 K): -0.23 eV per atom
symmetry: C2/m, No. 12

Geometry as POSCAR:
```
CeZn11Rh
1.0
-4.222 -0.644 2.780
-2.900 -6.145 -1.069
1.404 -2.809 6.153
Ce Zn Rh
1 11 1
Direct
0.000 0.000 0.000
0.980 0.357 0.652
0.500 0.780 0.219
0.500 0.220 0.781
0.281 0.220 0.219
0.020 0.643 0.348
0.500 0.000 0.500
0.631 0.357 0.348
0.369 0.643 0.652
0.719 0.780 0.781
0.000 0.000 0.500
0.000 0.500 0.000
0.500 0.500 0.000
```


The following is a PBE calculation of a relaxed Ce3Zn9Rh2 crystal, from Alexandria.

## Properties
raw total energy: -3.529 eV per atom
ΔH_f (0 K): -0.39 eV per atom
symmetry: Immm, No. 71

Geometry as POSCAR:
```
Ce3Zn9Rh2
1.0
4.337 0.000 1.210
1.575 7.318 2.731
0.115 -0.294 7.962
Ce Zn Rh
3 9 2
Direct
0.698 0.302 0.302
0.302 0.698 0.698
0.000 0.000 0.000
0.656 0.984 0.704
0.000 0.500 0.500
0.656 0.704 0.984
0.128 0.153 0.591
0.872 0.409 0.847
0.344 0.016 0.296
0.344 0.296 0.016
0.128 0.591 0.153
0.872 0.847 0.409
0.500 0.335 0.665
0.500 0.665 0.335
```


The following is a PBE calculation of a relaxed CeZrZnRh crystal, from Alexandria.

## Properties
raw total energy: -6.110 eV per atom
ΔH_f (0 K): -0.33 eV per atom
symmetry: F-43m, No. 216

Geometry as POSCAR:
```
CeZrZnRh
1.0
4.867 0.000 0.000
2.433 4.215 0.000
2.433 1.405 3.974
Rh Zr Ce Zn
1 1 1 1
Direct
0.750 0.750 0.750
0.000 0.000 0.000
0.500 0.500 0.500
0.250 0.250 0.250
```


The following is a PBE calculation of a relaxed Ce2ZrZn2Rh5 crystal, from Alexandria.

## Properties
raw total energy: -6.613 eV per atom
ΔH_f (0 K): -0.64 eV per atom
symmetry: P4/mbm, No. 127

Geometry as POSCAR:
```
Ce2ZrZn2Rh5
1.0
3.648 0.000 0.000
0.000 9.882 0.000
0.000 0.000 9.882
Ce Rh Zr Zn
4 10 2 4
Direct
0.000 0.173 0.327
0.000 0.673 0.173
0.000 0.827 0.673
0.000 0.327 0.827
0.500 0.205 0.074
0.500 0.500 0.000
0.500 0.295 0.574
0.500 0.074 0.795
0.500 0.000 0.500
0.500 0.574 0.705
0.500 0.426 0.295
0.500 0.926 0.205
0.500 0.795 0.926
0.500 0.705 0.426
0.000 0.000 0.000
0.000 0.500 0.500
0.000 0.123 0.623
0.000 0.377 0.123
0.000 0.623 0.877
0.000 0.877 0.377
```


Among the records above, which one has the lowest raw total energy? Ce2ZrZn2Rh5


Which value of ΔH_f (0 K) does entry 7 give? -0.23 eV per atom


Which of these has the lowest raw total energy? Ce2ZrZn2Rh5


Please write out number 8 again, unchanged.
The following is a PBE calculation of a relaxed Ce3Zn9Rh2 crystal, from Alexandria.

## Properties
raw total energy: -3.529 eV per atom
ΔH_f (0 K): -0.39 eV per atom
symmetry: Immm, No. 71

Geometry as POSCAR:
```
Ce3Zn9Rh2
1.0
4.337 0.000 1.210
1.575 7.318 2.731
0.115 -0.294 7.962
Ce Zn Rh
3 9 2
Direct
0.698 0.302 0.302
0.302 0.698 0.698
0.000 0.000 0.000
0.656 0.984 0.704
0.000 0.500 0.500
0.656 0.704 0.984
0.128 0.153 0.591
0.872 0.409 0.847
0.344 0.016 0.296
0.344 0.296 0.016
0.128 0.591 0.153
0.872 0.847 0.409
0.500 0.335 0.665
0.500 0.665 0.335
```